The following is a DFT calculation (PBE) of an optimized crystal structure of La2HfNb.

Lattice parameters (Å, degrees): 5.335 5.335 5.335 60.00 60.00 60.00
Each line ends with the local moment (μB).
Element x y z (fractional)
La (0.750, 0.750, 0.750)  0.01
La (0.250, 0.250, 0.250)  0.01
Nb (0.000, 0.000, 0.000)  1.14
Hf (0.500, 0.500, 0.500)  -0.37

Values from the calculation:
N(E_F) (states/eV per cell): 6.36
E_tot (eV per atom): -6.966
E_form (eV/atom): 0.50
Energy above the most stable polymorph in this dataset (meV/atom): 0
M_tot (Bohr magnetons per cell): 0.9